This record from the Alexandria database describes a geometry-optimized Zn2GaAg7Sb2 structure. The functional is PBE-GGA.

Properties
formation energy (no corrections): 0.06 eV per atom
mass density: 8.600 g cm⁻³
space group: No. 12
DOS(E_F): 4.19 states/eV/f.u.
calculated volume: 19.30 Å³/atom

Unit cell a=4.210 b=4.210 c=13.061 alpha=90.30 beta=90.30 gamma=90.25
Atoms (fractional coordinates):
Zn  0.001  0.001  0.186
Zn  0.999  0.999  0.814
Ga  0.500  0.500  0.500
Ag  0.000  0.000  0.500
Ag  0.000  0.499  0.345
Ag  0.000  0.501  0.655
Ag  0.235  0.235  0.000
Ag  0.499  0.000  0.345
Ag  0.501  0.000  0.655
Ag  0.765  0.765  0.000
Sb  0.500  0.500  0.183
Sb  0.500  0.500  0.817